# GGA-PBE SrGa4Ag2Au, relaxed
data_SrGa4Ag2Au
_chemical_formula_sum 'Sr1 Ga4 Ag2 Au1'
_symmetry_space_group_name_H-M 'P 1'
_symmetry_Int_Tables_number 1
_cell_length_a 9.9946
_cell_length_b 9.9946
_cell_length_c 9.9946
_cell_angle_alpha 26.00
_cell_angle_beta 26.00
_cell_angle_gamma 26.00
loop_
_symmetry_equiv_pos_as_xyz
'x,y,z'
loop_
_atom_site_label
_atom_site_type_symbol
_atom_site_fract_x
_atom_site_fract_y
_atom_site_fract_z
_atom_site_occupancy
Sr1 Sr 0.0000 0.0000 0.0000 1
Ga1 Ga 0.1280 0.1280 0.1280 1
Ga2 Ga 0.4038 0.4038 0.4038 1
Ga3 Ga 0.5962 0.5962 0.5962 1
Ga4 Ga 0.8720 0.8720 0.8720 1
Ag1 Ag 0.2462 0.2462 0.2462 1
Ag2 Ag 0.7538 0.7538 0.7538 1
Au1 Au 0.5000 0.5000 0.5000 1
# Magnetization (μB/f.u.): 0.00
# N(E_F) (states/eV/atom): 0.276
# Energy of formation (kcal/mol of atoms): -4.944